Sr2FeTcO6 | GGA+U | relaxed

```
Sr2FeTcO6
1.0
-4.1371 -3.7947 -0.5457
3.4904 -4.0513 1.7108
-2.1809 1.2991 7.5258
Sr Fe Tc O
4 2 2 12
direct
0.0017 0.9911 0.2501
0.5017 0.5089 0.7501
0.9983 0.0089 0.7499
0.4983 0.4911 0.2499
0.5000 0.0000 0.0000
0.0000 0.5000 0.5000
0.5000 0.0000 0.5000
0.0000 0.5000 0.0000
0.2609 0.7333 0.0220
0.7609 0.7667 0.5220
0.7391 0.2667 0.9780
0.2391 0.2333 0.4780
0.2670 0.7386 0.4778
0.7670 0.7614 0.9778
0.7330 0.2614 0.5222
0.2330 0.2386 0.0222
0.9573 0.5025 0.2472
0.4573 0.9975 0.7472
0.0427 0.4975 0.7528
0.5427 0.0025 0.2528
```

Energy   -7.01 eV/atom
Total magnetic moment   6.67 μB per formula unit